Version a
# KMnTc2

A PBEsol-optimized structure of KMnTc2 (meta-GGA SCAN, the Alexandria database).

Structure (extended XYZ):
```
4
Lattice="-2.366 -0.751 3.748 1.643 -2.707 3.191 1.384 1.722 3.915" Properties=species:S:1:pos:R:3 pbc="T T T"
Mn 0.165 -0.434 2.713
Tc 0.496 -1.302 8.140
Tc 0.000 0.000 0.000
K 0.330 -0.868 5.427
```



Version b
# KMnTc2

A PBEsol-optimized structure of KMnTc2 (meta-GGA SCAN, the Alexandria database).

Structure (extended XYZ):
```
4
Lattice="2.636 0.000 0.000 0.000 2.636 0.000 0.000 0.000 9.458" Properties=species:S:1:pos:R:3 pbc="T T T"
K 1.318 1.318 0.000
Tc 0.000 0.000 3.014
Tc 0.000 0.000 6.444
Mn 1.318 1.318 4.729
```



Version c
# KMnTc2

A PBEsol-optimized structure of KMnTc2 (meta-GGA SCAN, the Alexandria database).

Structure (extended XYZ):
```
4
Lattice="2.706 0.000 0.000 1.353 2.343 0.000 1.353 0.781 9.956" Properties=species:S:1:pos:R:3 pbc="T T T"
Tc 4.059 2.343 7.988
Tc 1.353 0.781 1.969
K 2.706 1.562 4.978
Mn 0.000 0.000 0.000
```



Of them, version a has the lowest stability.



Version a
# KMnTl2

A PBEsol-optimized structure of KMnTl2 (meta-GGA SCAN, the Alexandria database).

Structure (extended XYZ):
```
4
Lattice="3.333 0.000 0.000 0.000 4.299 0.000 0.000 0.000 7.996" Properties=species:S:1:pos:R:3 pbc="T T T"
K 0.000 0.000 4.042
Tl 1.667 2.150 1.620
Tl 0.000 0.000 7.522
Mn 1.667 2.150 6.807
```



Version b
# KMnTl2

A PBEsol-optimized structure of KMnTl2 (meta-GGA SCAN, the Alexandria database).

Structure (extended XYZ):
```
4
Lattice="-1.548 -3.019 -0.690 2.224 -0.547 -2.597 5.239 -3.898 5.307" Properties=species:S:1:pos:R:3 pbc="T T T"
Tl 1.608 -1.196 1.629
Tl 3.631 -2.702 3.678
K 0.338 -1.783 -1.643
Mn 2.958 -3.732 1.010
```



Version c
# KMnTl2

A PBEsol-optimized structure of KMnTl2 (meta-GGA SCAN, the Alexandria database).

Structure (extended XYZ):
```
4
Lattice="3.269 0.000 0.000 -1.634 4.347 0.038 0.000 -1.002 7.818" Properties=species:S:1:pos:R:3 pbc="T T T"
K 1.634 0.000 0.000
Tl 0.000 1.940 2.495
Tl 1.634 1.405 5.361
Mn 0.000 -0.501 3.909
```



Of them, version a has the lowest stability.



Version a
# KMn2W

A PBEsol-optimized structure of KMn2W (meta-GGA SCAN, the Alexandria database).

Structure (extended XYZ):
```
4
Lattice="4.577 0.000 0.000 2.288 3.963 0.000 2.288 1.321 3.737" Properties=species:S:1:pos:R:3 pbc="T T T"
K 0.000 0.000 0.000
W 4.577 2.642 1.868
Mn 2.288 1.321 0.934
Mn 6.865 3.963 2.803
```



Version b
# KMn2W

A PBEsol-optimized structure of KMn2W (meta-GGA SCAN, the Alexandria database).

Structure (extended XYZ):
```
4
Lattice="-1.723 -1.435 1.919 -2.281 -1.600 -0.975 4.375 -8.753 -0.346" Properties=species:S:1:pos:R:3 pbc="T T T"
K 0.000 0.000 0.000
Mn 0.420 -3.391 0.112
Mn -0.050 -8.396 0.487
W 0.185 -5.894 0.299
```



Of them, version a has the lowest stability.



Version a
# KZrMn2

A PBEsol-optimized structure of KZrMn2 (meta-GGA SCAN, the Alexandria database).

Structure (extended XYZ):
```
4
Lattice="-3.995 -0.786 -2.560 0.293 -0.779 -4.737 -0.895 -4.379 -1.777" Properties=species:S:1:pos:R:3 pbc="T T T"
Mn 0.000 0.000 0.000
Mn -3.447 -4.458 -6.805
Zr -1.149 -1.486 -2.268
K -2.298 -2.972 -4.537
```



Version b
# KZrMn2

A PBEsol-optimized structure of KZrMn2 (meta-GGA SCAN, the Alexandria database).

Structure (extended XYZ):
```
4
Lattice="-2.456 -1.465 0.944 2.420 -1.139 4.530 -1.839 4.450 2.120" Properties=species:S:1:pos:R:3 pbc="T T T"
Mn 1.210 -0.570 2.265
Mn -0.920 2.225 1.060
Zr -1.228 -0.732 0.472
K -0.937 0.923 3.797
```



Of them, version a has the lowest stability.